(1)
VASP calculation (PBE) on Sr2MnPt after structural relaxation.

```
Sr2MnPt
1.0
-1.913 2.587 5.764
1.913 -2.587 5.764
1.913 2.587 -5.764
Sr Mn Pt
2 1 1
Direct
0.000 0.000 0.000
0.708 0.208 0.500
0.316 0.816 0.500
0.461 0.461 0.000
```

- Crystal system: orthorhombic

---

(2)
VASP calculation (PBE) on SrMn4Pt after structural relaxation.

```
SrMn4Pt
1.0
0.000 3.677 3.677
3.677 0.000 3.677
3.677 3.677 0.000
Sr Mn Pt
1 4 1
Direct
0.000 0.000 0.000
0.133 0.622 0.622
0.622 0.133 0.622
0.622 0.622 0.133
0.622 0.622 0.622
0.250 0.250 0.250
```

- Crystal system: cubic

---

(3)
VASP calculation (PBE) on SrMn2Pt after structural relaxation.

```
SrMn2Pt
1.0
3.734 0.000 0.000
0.000 4.228 0.000
-1.854 0.000 6.053
Sr Mn Pt
1 2 1
Direct
0.000 0.000 0.000
0.262 0.000 0.520
0.729 0.500 0.455
0.379 0.500 0.757
```

- Crystal system: monoclinic

---

(4)
VASP calculation (PBE) on Sr2MnPt after structural relaxation.

```
Sr2MnPt
1.0
3.919 0.000 0.000
0.000 5.230 0.000
-0.009 0.000 5.213
Sr Mn Pt
2 1 1
Direct
0.000 0.000 0.000
0.000 0.500 0.500
0.500 0.000 0.500
0.500 0.500 0.000
```

- Crystal system: monoclinic

---

(5)
VASP calculation (PBE) on SrTi2MnPt after structural relaxation.

```
SrTi2MnPt
1.0
4.893 0.000 0.000
0.000 4.893 0.000
0.000 0.000 4.781
Sr Ti Mn Pt
1 2 1 1
Direct
0.000 0.000 0.000
0.000 0.500 0.500
0.500 0.000 0.500
0.500 0.500 0.000
0.500 0.500 0.500
```

- Crystal system: tetragonal

---

(6)
VASP calculation (PBE) on SrMnPt2W after structural relaxation.

```
SrMnPt2W
1.0
4.881 0.000 0.000
0.000 4.881 0.000
0.000 0.000 4.370
Sr Mn Pt W
1 1 2 1
Direct
0.000 0.000 0.000
0.500 0.500 0.500
0.000 0.500 0.500
0.500 0.000 0.500
0.500 0.500 0.000
```

- Crystal system: tetragonal

---

| no. | raw total energy (eV/atom) | ΔH_f (0 K) (eV per atom) |
| --- | --- | --- |
| 1 | -4.792 | -0.1481 |
| 2 | -6.954 | 0.4461 |
| 3 | -6.376 | 0.1394 |
| 4 | -4.668 | -0.0246 |
| 5 | -5.978 | 0.5579 |
| 6 | -6.678 | 0.4994 |